Entry 1:
MnCoRh: optimized geometry, GGA-PBE.

a = 5.693 Å, b = 5.693 Å, c = 2.591 Å
α = 76.85°, β = 76.85°, γ = 26.31°
Fractional positions:
Co 0.993 0.993 0.007
Mn 0.339 0.339 0.661
Rh 0.668 0.668 0.332

Values from the calculation:
- Total magnetization: 0.68 Bohr magnetons per cell
- Energy of formation: 0.049 eV/atom
- Total DFT energy (no corrections): -7.827 eV/atom
- E above lowest polymorph: 0.0380 eV/atom

Entry 2:
SrYAl: optimized geometry, GGA-PBE.

a = 7.158 Å, b = 4.687 Å, c = 6.477 Å
α = 68.80°, β = 90.00°, γ = 90.00°
Fractional positions:
Y 0.827 0.141 0.613
Y 0.327 0.141 0.612
Sr 0.078 0.432 0.031
Sr 0.578 0.850 0.195
Al 0.077 0.727 0.441
Al 0.577 0.555 0.784

Values from the calculation:
- Total magnetization: 0.00 Bohr magnetons per cell
- Energy of formation: -0.089 eV/atom
- Total DFT energy (no corrections): -4.052 eV/atom
- E above lowest polymorph: 0.1224 eV/atom

Entry 3:
BiH2Au2: optimized geometry, GGA-PBE.

a = 8.248 Å, b = 8.248 Å, c = 2.879 Å
α = 90.00°, β = 90.00°, γ = 90.00°
Fractional positions:
H 0.033 0.533 0.500
H 0.533 0.967 0.500
H 0.967 0.467 0.500
H 0.467 0.033 0.500
Au 0.244 0.744 0.000
Au 0.744 0.756 0.000
Au 0.756 0.256 0.000
Au 0.256 0.244 0.000
Bi 0.000 0.000 0.000
Bi 0.500 0.500 0.000

Values from the calculation:
- Total magnetization: 0.00 Bohr magnetons per cell
- Total DFT energy (no corrections): -3.177 eV/atom
- E above lowest polymorph: 0.0000 eV/atom

Entry 4:
Tl2Ge2Br: optimized geometry, GGA-PBE.

a = 8.710 Å, b = 8.710 Å, c = 3.922 Å
α = 90.00°, β = 90.00°, γ = 90.00°
Fractional positions:
Tl 0.297 0.797 0.000
Tl 0.797 0.703 0.000
Tl 0.703 0.203 0.000
Tl 0.203 0.297 0.000
Ge 0.098 0.598 0.500
Ge 0.598 0.902 0.500
Ge 0.902 0.402 0.500
Ge 0.402 0.098 0.500
Br 0.000 0.000 0.000
Br 0.500 0.500 0.000

Values from the calculation:
- Total magnetization: 0.00 Bohr magnetons per cell
- E_form (uncorrected): 97.8 meV per atom
- Total DFT energy (no corrections): -3.030 eV/atom
- E above lowest polymorph: 0.0337 eV/atom

Entry 5:
BeCo2Sb: optimized geometry, GGA-PBE.

a = 4.106 Å, b = 4.106 Å, c = 4.106 Å
α = 60.00°, β = 60.00°, γ = 60.00°
Fractional positions:
Sb 0.500 0.500 0.500
Co 0.250 0.250 0.250
Co 0.750 0.750 0.750
Be 0.000 0.000 0.000

Values from the calculation:
- Total magnetization: 1.19 Bohr magnetons per cell
- E_form (uncorrected): -21.7 meV per atom
- Total DFT energy (no corrections): -5.537 eV/atom
- E above lowest polymorph: 0.0000 eV/atom

Entry 6:
Pu3Pd: optimized geometry, GGA-PBE.

a = 4.863 Å, b = 4.863 Å, c = 4.863 Å
α = 60.00°, β = 60.00°, γ = 60.00°
Fractional positions:
Pd 0.500 0.500 0.500
Pu 0.000 0.000 0.000
Pu 0.750 0.750 0.750
Pu 0.250 0.250 0.250

Values from the calculation:
- Total magnetization: 5.33 Bohr magnetons per cell
- Energy of formation: -0.032 eV/atom
- Total DFT energy (no corrections): -12.079 eV/atom
- E above lowest polymorph: 0.0332 eV/atom

Entry 7:
AcSiF: optimized geometry, GGA-PBE.

a = 4.289 Å, b = 4.078 Å, c = 7.629 Å
α = 90.00°, β = 106.32°, γ = 90.00°
Fractional positions:
Ac 0.251 0.115 0.964
Ac 0.979 0.615 0.422
Si 0.659 0.615 0.780
Si 0.571 0.115 0.605
F 0.370 0.615 0.203
F 0.860 0.115 0.182

Values from the calculation:
- Total magnetization: 0.00 Bohr magnetons per cell
- E_form (uncorrected): -2201.9 meV per atom
- Total DFT energy (no corrections): -6.003 eV/atom
- E above lowest polymorph: 0.0000 eV/atom

Entry 8:
Ac6Co2NiBr3: optimized geometry, GGA-PBE.

a = 4.249 Å, b = 9.606 Å, c = 10.524 Å
α = 111.98°, β = 101.65°, γ = 90.00°
Fractional positions:
Ac 0.343 0.879 0.686
Ac 0.680 0.549 0.360
Ac 0.657 0.121 0.314
Ac 0.015 0.222 0.031
Ac 0.985 0.778 0.969
Ac 0.320 0.451 0.640
Co 0.834 0.669 0.668
Co 0.166 0.331 0.332
Ni 0.500 0.000 0.000
Br 0.500 0.500 0.000
Br 0.834 0.167 0.668
Br 0.166 0.833 0.332

Values from the calculation:
- Total magnetization: 0.00 Bohr magnetons per cell
- E_form (uncorrected): -793.4 meV per atom
- Total DFT energy (no corrections): -4.932 eV/atom